Computed, not measured: an optimized crystal structure of NaCoOs at the GGA-PBE level of DFT.

Lattice parameters (Å, degrees): 3.752 5.831 5.140 76.07 90.00 71.18
Last column: magnetic moment on the atom in μB.
Atoms (fractional coordinates):
Co: 0.655 0.777 0.937  0.56
Co: 0.230 0.628 0.743  0.56
Os: 0.653 0.781 0.451  -0.07
Os: 0.232 0.624 0.229  -0.07
Na: 0.941 0.207 0.085  0.00
Na: 0.944 0.197 0.596  0.00

Calculated values
**E_tot**: -5.984 eV per atom
**ΔE_f**: 0.567 eV per atom
**Polymorph energy (0 for the lowest one)**: 134 meV per atom
**Density**: 8.779 g/cm3
**Space-group type**: C2/m, No. 12